# 1
{"formula": "K2SmAlS4", "functional": "GGA-PBE", "state": "relaxed", "lattice_angstrom": [[8.1740, -0.0177, -0.2380], [-0.0235, 8.1740, -0.2380], [-4.1769, -4.1798, 6.0065]], "species": ["S", "S", "S", "K", "K", "S", "S", "S", "S", "S", "Al", "Sm", "Sm", "K", "Al", "K"], "frac_coords": [[0.2043, 0.7597, 0.9820], [0.7403, 0.2957, 0.5180], [0.2425, 0.2572, 0.4465], [0.0000, 0.0000, 0.5000], [0.5000, 0.5000, 0.0000], [0.7575, 0.7428, 0.5535], [0.7572, 0.7425, 0.9465], [0.2597, 0.7043, 0.4820], [0.7957, 0.2403, 0.0180], [0.2428, 0.2575, 0.0535], [0.5000, 0.5000, 0.5000], [0.0000, 0.5000, 0.5000], [0.0000, 0.5000, 0.0000], [0.5000, 0.0000, 0.0000], [0.0000, 0.0000, 0.0000], [0.5000, 0.0000, 0.5000]], "e_tot_ev_per_atom": -4.77, "m_tot_mub_per_fu": 0.0}

---

# 2
{"formula": "POsRu2", "functional": "GGA-PBE", "state": "relaxed", "lattice_angstrom": [[-3.1265, 4.2062, -1.1682], [-3.3108, -1.3480, 4.0067], [-0.3704, 4.4854, 4.8010]], "species": ["Ru", "Ru", "P", "Os", "Os", "P", "Ru", "Ru"], "frac_coords": [[0.3750, 0.3943, 0.7500], [0.8750, 0.8557, 0.7500], [0.2500, 0.7500, 0.5000], [0.7500, 0.2500, 0.5000], [0.0000, 0.0000, 0.0000], [0.5000, 0.5000, 0.0000], [0.6057, 0.1250, 0.2500], [0.1443, 0.6250, 0.2500]], "e_form_ev_per_atom": 0.537, "m_tot_mub_per_fu": 0.0, "n_ef_per_ev_atom": 1.18}

---

# 3
{"formula": "Nb2P2Os", "functional": "GGA-PBE", "state": "relaxed", "lattice_angstrom": [[-4.5697, -3.2277, 3.5926], [0.6674, -5.3205, -3.9311], [2.4191, -1.1841, 2.0133]], "species": ["P", "Nb", "P", "Nb", "Os", "P", "Nb", "Nb", "Os", "P"], "frac_coords": [[0.6502, 0.1502, 0.0000], [0.6525, 0.8475, 0.5000], [0.3498, 0.8498, 0.0000], [0.8475, 0.3475, 0.5000], [0.0000, 0.0000, 0.0000], [0.8498, 0.6502, 0.0000], [0.3475, 0.1525, 0.5000], [0.1525, 0.6525, 0.5000], [0.5000, 0.5000, 0.0000], [0.1502, 0.3498, 0.0000]], "e_form_ev_per_atom": -0.444, "m_tot_mub_per_fu": 0.0, "n_ef_per_ev_atom": 0.88}

---

# 4
{"formula": "TiIn3Ge", "functional": "GGA-PBE", "state": "relaxed", "lattice_angstrom": [[5.3206, 0.0000, 0.0000], [0.0000, 5.3206, 0.0000], [0.0000, 0.0000, 5.3206]], "species": ["Ge", "In", "Ti", "In", "In"], "frac_coords": [[0.5000, 0.5000, 0.5000], [0.0000, 0.5000, 0.0000], [0.0000, 0.0000, 0.0000], [0.0000, 0.0000, 0.5000], [0.5000, 0.0000, 0.0000]], "polymorph_energy_kj_per_mol_atoms": 0.00, "e_form_ev_per_atom": 0.666, "m_tot_mub_per_fu": 1.0, "n_ef_per_ev_atom": 0.79}